# 1
# Ac3B2SbPt9 (PBE, relaxed)
data_Ac3B2SbPt9
_cell_length_a 6.0248
_cell_length_b 6.0248
_cell_length_c 9.5070
_cell_angle_alpha 90.00
_cell_angle_beta 90.00
_cell_angle_gamma 120.00
_space_group_name_H-M_alt 'P 1'
_space_group_IT_number 1
loop_
_space_group_symop_operation_xyz
'x,y,z'
loop_
_atom_site_label
_atom_site_type_symbol
_atom_site_fract_x
_atom_site_fract_y
_atom_site_fract_z
Ac1 Ac 0.3333 0.6667 0.6272
Ac2 Ac 0.0000 0.0000 0.0000
Ac3 Ac 0.6667 0.3333 0.3728
B1 B 0.3333 0.6667 0.1425
B2 B 0.6667 0.3333 0.8575
Sb1 Sb 0.0000 0.0000 0.5000
Pt1 Pt 0.8285 0.1715 0.7181
Pt2 Pt 0.8285 0.6570 0.7181
Pt3 Pt 0.3430 0.1715 0.7181
Pt4 Pt 0.6570 0.8285 0.2819
Pt5 Pt 0.1715 0.3430 0.2819
Pt6 Pt 0.1715 0.8285 0.2819
Pt7 Pt 0.5000 0.0000 0.0000
Pt8 Pt 0.0000 0.5000 0.0000
Pt9 Pt 0.5000 0.5000 0.0000
# - Energy relative to the elements, uncorrected: -0.76 eV per atom
# - M_tot: 0.000 μB/cell

# 2
# Ac2SiBPt6 (PBE, relaxed)
data_Ac2SiBPt6
_cell_length_a 5.8723
_cell_length_b 6.2532
_cell_length_c 6.7317
_cell_angle_alpha 117.68
_cell_angle_beta 115.86
_cell_angle_gamma 90.00
_space_group_name_H-M_alt 'P 1'
_space_group_IT_number 1
loop_
_space_group_symop_operation_xyz
'x,y,z'
loop_
_atom_site_label
_atom_site_type_symbol
_atom_site_fract_x
_atom_site_fract_y
_atom_site_fract_z
Ac1 Ac 0.7233 0.2238 0.4465
Ac2 Ac 0.2118 0.7123 0.4236
Si1 Si 0.5514 0.5519 0.1028
B1 B 0.0731 0.0736 0.1461
Pt1 Pt 0.7276 0.7436 0.9418
Pt2 Pt 0.7774 0.7779 0.5548
Pt3 Pt 0.2142 0.1992 0.9418
Pt4 Pt 0.7276 0.1992 0.9418
Pt5 Pt 0.2785 0.2790 0.5570
Pt6 Pt 0.2142 0.7436 0.9418
# - Energy relative to the elements, uncorrected: -0.95 eV per atom
# - M_tot: 0.000 μB/cell

# 3
# Ac3SiB2Pt9 (PBE, relaxed)
data_Ac3SiB2Pt9
_cell_length_a 6.0122
_cell_length_b 6.0122
_cell_length_c 9.0898
_cell_angle_alpha 90.00
_cell_angle_beta 90.00
_cell_angle_gamma 120.00
_space_group_name_H-M_alt 'P 1'
_space_group_IT_number 1
loop_
_space_group_symop_operation_xyz
'x,y,z'
loop_
_atom_site_label
_atom_site_type_symbol
_atom_site_fract_x
_atom_site_fract_y
_atom_site_fract_z
Ac1 Ac 0.3333 0.6667 0.6249
Ac2 Ac 0.0000 0.0000 0.0000
Ac3 Ac 0.6667 0.3333 0.3751
Si1 Si 0.0000 0.0000 0.5000
B1 B 0.3333 0.6667 0.1515
B2 B 0.6667 0.3333 0.8485
Pt1 Pt 0.8344 0.1656 0.7050
Pt2 Pt 0.8344 0.6687 0.7050
Pt3 Pt 0.3313 0.1656 0.7050
Pt4 Pt 0.6687 0.8344 0.2950
Pt5 Pt 0.1656 0.3313 0.2950
Pt6 Pt 0.1656 0.8344 0.2950
Pt7 Pt 0.5000 0.0000 0.0000
Pt8 Pt 0.0000 0.5000 0.0000
Pt9 Pt 0.5000 0.5000 0.0000
# - Energy relative to the elements, uncorrected: -0.80 eV per atom
# - M_tot: 0.000 μB/cell

# 4
# AcSiBPt6 (PBE, relaxed)
data_AcSiBPt6
_cell_length_a 7.4843
_cell_length_b 8.1044
_cell_length_c 7.8673
_cell_angle_alpha 121.00
_cell_angle_beta 118.40
_cell_angle_gamma 90.00
_space_group_name_H-M_alt 'P 1'
_space_group_IT_number 1
loop_
_space_group_symop_operation_xyz
'x,y,z'
loop_
_atom_site_label
_atom_site_type_symbol
_atom_site_fract_x
_atom_site_fract_y
_atom_site_fract_z
Ac1 Ac 0.8395 0.5895 0.6791
Ac2 Ac 0.1605 0.4105 0.3209
Si1 Si 0.5000 0.0000 0.5000
Si2 Si 0.0000 0.0000 0.5000
B1 B 0.5000 0.5000 0.0000
B2 B 0.5000 0.0000 0.0000
Pt1 Pt 0.4363 0.6863 0.8726
Pt2 Pt 0.8760 0.1260 0.7519
Pt3 Pt 0.8374 0.0991 0.2453
Pt4 Pt 0.4079 0.6462 0.2453
Pt5 Pt 0.4079 0.0991 0.2453
Pt6 Pt 0.8374 0.6462 0.2453
Pt7 Pt 0.5637 0.3137 0.1274
Pt8 Pt 0.1240 0.8740 0.2481
Pt9 Pt 0.1626 0.9009 0.7547
Pt10 Pt 0.5921 0.3538 0.7547
Pt11 Pt 0.5921 0.9009 0.7547
Pt12 Pt 0.1626 0.3538 0.7547
# - Energy relative to the elements, uncorrected: -0.62 eV per atom
# - M_tot: 0.000 μB/cell

# 5
# Ac2SnB3Pt12 (PBE, relaxed)
data_Ac2SnB3Pt12
_cell_length_a 7.7547
_cell_length_b 7.7547
_cell_length_c 7.7547
_cell_angle_alpha 61.62
_cell_angle_beta 61.62
_cell_angle_gamma 61.62
_space_group_name_H-M_alt 'P 1'
_space_group_IT_number 1
loop_
_space_group_symop_operation_xyz
'x,y,z'
loop_
_atom_site_label
_atom_site_type_symbol
_atom_site_fract_x
_atom_site_fract_y
_atom_site_fract_z
Ac1 Ac 0.6051 0.6051 0.6051
Ac2 Ac 0.3949 0.3949 0.3949
Sn1 Sn 0.0000 0.0000 0.0000
B1 B 0.5000 0.0000 0.0000
B2 B 0.0000 0.5000 0.0000
B3 B 0.0000 0.0000 0.5000
Pt1 Pt 0.3216 0.3216 0.9154
Pt2 Pt 0.8809 0.8809 0.3940
Pt3 Pt 0.3940 0.8809 0.8809
Pt4 Pt 0.9154 0.3216 0.3216
Pt5 Pt 0.8809 0.3940 0.8809
Pt6 Pt 0.3216 0.9154 0.3216
Pt7 Pt 0.6784 0.6784 0.0846
Pt8 Pt 0.1191 0.1191 0.6060
Pt9 Pt 0.6060 0.1191 0.1191
Pt10 Pt 0.0846 0.6784 0.6784
Pt11 Pt 0.1191 0.6060 0.1191
Pt12 Pt 0.6784 0.0846 0.6784
# - M_tot: 0.000 μB/cell
# - Formation energy from the elements: -0.47 eV/atom

# 6
# Ac3SnB2Pt9 (PBE, relaxed)
data_Ac3SnB2Pt9
_cell_length_a 6.0323
_cell_length_b 6.0323
_cell_length_c 9.4697
_cell_angle_alpha 90.00
_cell_angle_beta 90.00
_cell_angle_gamma 120.00
_space_group_name_H-M_alt 'P 1'
_space_group_IT_number 1
loop_
_space_group_symop_operation_xyz
'x,y,z'
loop_
_atom_site_label
_atom_site_type_symbol
_atom_site_fract_x
_atom_site_fract_y
_atom_site_fract_z
Ac1 Ac 0.3333 0.6667 0.6290
Ac2 Ac 0.0000 0.0000 0.0000
Ac3 Ac 0.6667 0.3333 0.3710
Sn1 Sn 0.0000 0.0000 0.5000
B1 B 0.3333 0.6667 0.1428
B2 B 0.6667 0.3333 0.8572
Pt1 Pt 0.8295 0.1705 0.7193
Pt2 Pt 0.8295 0.6591 0.7193
Pt3 Pt 0.3409 0.1705 0.7193
Pt4 Pt 0.6591 0.8295 0.2807
Pt5 Pt 0.1705 0.3409 0.2807
Pt6 Pt 0.1705 0.8295 0.2807
Pt7 Pt 0.5000 0.0000 0.0000
Pt8 Pt 0.0000 0.5000 0.0000
Pt9 Pt 0.5000 0.5000 0.0000
# - M_tot: 0.000 μB/cell
# - Formation energy from the elements: -0.76 eV/atom

# 7
# Ac2ThB3Pt12 (PBE, relaxed)
data_Ac2ThB3Pt12
_cell_length_a 7.8540
_cell_length_b 7.8540
_cell_length_c 7.8540
_cell_angle_alpha 60.95
_cell_angle_beta 60.95
_cell_angle_gamma 60.95
_space_group_name_H-M_alt 'P 1'
_space_group_IT_number 1
loop_
_space_group_symop_operation_xyz
'x,y,z'
loop_
_atom_site_label
_atom_site_type_symbol
_atom_site_fract_x
_atom_site_fract_y
_atom_site_fract_z
Ac1 Ac 0.5978 0.5978 0.5978
Ac2 Ac 0.4022 0.4022 0.4022
Th1 Th 0.0000 0.0000 0.0000
B1 B 0.5000 0.0000 0.0000
B2 B 0.0000 0.5000 0.0000
B3 B 0.0000 0.0000 0.5000
Pt1 Pt 0.3179 0.3179 0.9133
Pt2 Pt 0.8656 0.8656 0.4195
Pt3 Pt 0.4195 0.8656 0.8656
Pt4 Pt 0.9133 0.3179 0.3179
Pt5 Pt 0.8656 0.4195 0.8656
Pt6 Pt 0.3179 0.9133 0.3179
Pt7 Pt 0.6821 0.6821 0.0867
Pt8 Pt 0.1344 0.1344 0.5805
Pt9 Pt 0.5805 0.1344 0.1344
Pt10 Pt 0.0867 0.6821 0.6821
Pt11 Pt 0.1344 0.5805 0.1344
Pt12 Pt 0.6821 0.0867 0.6821
# - M_tot: 0.000 μB/cell
# - Formation energy from the elements: -0.51 eV/atom

# 8
# AcTlBPt4 (PBE, relaxed)
data_AcTlBPt4
_cell_length_a 7.2310
_cell_length_b 7.2310
_cell_length_c 7.2310
_cell_angle_alpha 60.00
_cell_angle_beta 60.00
_cell_angle_gamma 60.00
_space_group_name_H-M_alt 'P 1'
_space_group_IT_number 1
loop_
_space_group_symop_operation_xyz
'x,y,z'
loop_
_atom_site_label
_atom_site_type_symbol
_atom_site_fract_x
_atom_site_fract_y
_atom_site_fract_z
Ac1 Ac 0.7500 0.7500 0.7500
Tl1 Tl 0.5000 0.5000 0.5000
B1 B 0.2500 0.2500 0.2500
Pt1 Pt 0.3575 0.3575 0.9275
Pt2 Pt 0.3575 0.3575 0.3575
Pt3 Pt 0.3575 0.9275 0.3575
Pt4 Pt 0.9275 0.3575 0.3575
# - M_tot: 0.000 μB/cell
# - Formation energy from the elements: 0.82 eV/atom

# 9
# Ac2TlBPt6 (PBE, relaxed)
data_Ac2TlBPt6
_cell_length_a 5.8014
_cell_length_b 7.5465
_cell_length_c 6.6184
_cell_angle_alpha 121.18
_cell_angle_beta 115.99
_cell_angle_gamma 90.00
_space_group_name_H-M_alt 'P 1'
_space_group_IT_number 1
loop_
_space_group_symop_operation_xyz
'x,y,z'
loop_
_atom_site_label
_atom_site_type_symbol
_atom_site_fract_x
_atom_site_fract_y
_atom_site_fract_z
Ac1 Ac 0.7544 0.3007 0.5088
Ac2 Ac 0.2118 0.6842 0.4236
Tl1 Tl 0.5060 0.5221 0.0119
B1 B 0.0481 0.0771 0.0963
Pt1 Pt 0.7498 0.8389 0.0208
Pt2 Pt 0.7870 0.7629 0.5739
Pt3 Pt 0.2108 0.1739 0.9255
Pt4 Pt 0.7146 0.1739 0.9254
Pt5 Pt 0.2455 0.1311 0.4910
Pt6 Pt 0.2710 0.8389 0.0208
# - M_tot: 0.000 μB/cell
# - Formation energy from the elements: -0.69 eV/atom

# 10
# Ac2YB3Pt12 (PBE, relaxed)
data_Ac2YB3Pt12
_cell_length_a 7.6555
_cell_length_b 7.6555
_cell_length_c 7.6555
_cell_angle_alpha 63.57
_cell_angle_beta 63.57
_cell_angle_gamma 63.57
_space_group_name_H-M_alt 'P 1'
_space_group_IT_number 1
loop_
_space_group_symop_operation_xyz
'x,y,z'
loop_
_atom_site_label
_atom_site_type_symbol
_atom_site_fract_x
_atom_site_fract_y
_atom_site_fract_z
Ac1 Ac 0.6005 0.6005 0.6005
Ac2 Ac 0.3995 0.3995 0.3995
Y1 Y 0.0000 0.0000 0.0000
B1 B 0.5000 0.0000 0.0000
B2 B 0.0000 0.5000 0.0000
B3 B 0.0000 0.0000 0.5000
Pt1 Pt 0.3162 0.3162 0.9129
Pt2 Pt 0.8689 0.8689 0.4088
Pt3 Pt 0.4088 0.8689 0.8689
Pt4 Pt 0.9129 0.3162 0.3162
Pt5 Pt 0.8689 0.4088 0.8689
Pt6 Pt 0.3162 0.9129 0.3162
Pt7 Pt 0.6838 0.6838 0.0871
Pt8 Pt 0.1311 0.1311 0.5912
Pt9 Pt 0.5912 0.1311 0.1311
Pt10 Pt 0.0871 0.6838 0.6838
Pt11 Pt 0.1311 0.5912 0.1311
Pt12 Pt 0.6838 0.0871 0.6838
# - M_tot: 0.000 μB/cell
# - Formation energy from the elements: -0.48 eV/atom

Question: Which formula does entry 7 have?
Answer: Ac2ThB3Pt12

Please write out number 10 again, unchanged.
# Ac2YB3Pt12 (PBE, relaxed)
data_Ac2YB3Pt12
_cell_length_a 7.6555
_cell_length_b 7.6555
_cell_length_c 7.6555
_cell_angle_alpha 63.57
_cell_angle_beta 63.57
_cell_angle_gamma 63.57
_space_group_name_H-M_alt 'P 1'
_space_group_IT_number 1
loop_
_space_group_symop_operation_xyz
'x,y,z'
loop_
_atom_site_label
_atom_site_type_symbol
_atom_site_fract_x
_atom_site_fract_y
_atom_site_fract_z
Ac1 Ac 0.6005 0.6005 0.6005
Ac2 Ac 0.3995 0.3995 0.3995
Y1 Y 0.0000 0.0000 0.0000
B1 B 0.5000 0.0000 0.0000
B2 B 0.0000 0.5000 0.0000
B3 B 0.0000 0.0000 0.5000
Pt1 Pt 0.3162 0.3162 0.9129
Pt2 Pt 0.8689 0.8689 0.4088
Pt3 Pt 0.4088 0.8689 0.8689
Pt4 Pt 0.9129 0.3162 0.3162
Pt5 Pt 0.8689 0.4088 0.8689
Pt6 Pt 0.3162 0.9129 0.3162
Pt7 Pt 0.6838 0.6838 0.0871
Pt8 Pt 0.1311 0.1311 0.5912
Pt9 Pt 0.5912 0.1311 0.1311
Pt10 Pt 0.0871 0.6838 0.6838
Pt11 Pt 0.1311 0.5912 0.1311
Pt12 Pt 0.6838 0.0871 0.6838
# - M_tot: 0.000 μB/cell
# - Formation energy from the elements: -0.48 eV/atom